1.
CrPdSe2N | PBE | relaxed

a b c (Å): 4.9177 4.9177 3.4775
angles (deg): 90.00 90.00 90.00
Atoms (fractional coordinates):
Cr1 0.0000 0.0000 0.0000
Pd1 0.5000 0.5000 0.5000
Se1 0.0000 0.5000 0.0000
Se2 0.5000 0.0000 0.0000
N1 0.0000 0.0000 0.5000

Results
E_form (uncorrected): 0.2385 eV per atom
Volume: 84 Å³ per cell
Polymorph energy (0 for the lowest one): 0 meV/atom
Symmetry: No. 123
Calculated density: 6.523 Mg/m³
E: -5.78 eV per atom



2.
PmY2Ho4 | PBE | relaxed

a b c (Å): 8.5295 8.5295 8.7496
angles (deg): 118.78 118.78 23.82
Atoms (fractional coordinates):
Pm1 0.0000 0.0000 0.0000
Y1 0.0706 0.0706 0.4303
Y2 0.9294 0.9294 0.5697
Ho1 0.2947 0.2947 0.7070
Ho2 0.3571 0.3571 0.1636
Ho3 0.6429 0.6429 0.8364
Ho4 0.7053 0.7053 0.2930

Results
Volume: 224 Å³ per cell
Polymorph energy (0 for the lowest one): 0 meV/atom
Symmetry: No. 12
Calculated density: 7.291 Mg/m³
ΔE_f: 0.041 eV per atom
E: -5.10 eV per atom



3.
K3Te3As | PBE | relaxed

a b c (Å): 13.5737 5.4331 15.1225
angles (deg): 90.00 90.00 90.00
Atoms (fractional coordinates):
K1 0.0610 0.2500 0.1060
K2 0.1413 0.7500 0.4784
K3 0.2313 0.7500 0.7786
K4 0.2687 0.2500 0.2786
K5 0.3587 0.2500 0.9784
K6 0.4390 0.7500 0.6060
K7 0.5610 0.2500 0.3940
K8 0.6413 0.7500 0.0216
K9 0.7313 0.7500 0.7214
K10 0.7687 0.2500 0.2214
K11 0.8587 0.2500 0.5216
K12 0.9390 0.7500 0.8940
Te1 0.0117 0.2500 0.3350
Te2 0.1078 0.2500 0.8729
Te3 0.2368 0.2500 0.6161
Te4 0.2632 0.7500 0.1161
Te5 0.3922 0.7500 0.3729
Te6 0.4883 0.7500 0.8350
Te7 0.5117 0.2500 0.1650
Te8 0.6078 0.2500 0.6271
Te9 0.7368 0.2500 0.8839
Te10 0.7632 0.7500 0.3839
Te11 0.8922 0.7500 0.1271
Te12 0.9883 0.7500 0.6650
As1 0.0630 0.2500 0.6984
As2 0.4370 0.7500 0.1984
As3 0.5630 0.2500 0.8016
As4 0.9370 0.7500 0.3016

Results
E_form (uncorrected): -0.7246 eV per atom
Volume: 1115 Å³ per cell
Symmetry: No. 62
Calculated density: 3.425 Mg/m³
E: -3.21 eV per atom



Question: What is the E in the third record?
Answer: -3.21 eV per atom



Question: Which of these has the highest E?
Answer: K3Te3As



Question: Among the records above, which one has the lowest E?
Answer: CrPdSe2N



Question: Look up the calculated density of the second one.
Answer: 7.291 Mg/m³